(1)
First-principles (GGA+U) data for LiFeGe2O6 after structural relaxation, as listed in the Alexandria database.

Cell and atoms, written as CIF:
```
data_LiFeGe2O6
_chemical_formula_sum 'Li4 Fe4 Ge8 O24'
_space_group_name_H-M_alt 'P 1 21/c 1'
_space_group_IT_number 14
_space_group_name_Hall '-P 2ybc'
_cell_length_a 9.742
_cell_length_b 8.931
_cell_length_c 5.446
_cell_angle_alpha 90.00
_cell_angle_beta 103.04
_cell_angle_gamma 90.00
loop_
_atom_site_label
_atom_site_type_symbol
_atom_site_fract_x
_atom_site_fract_y
_atom_site_fract_z
Li1 Li 0.245 0.009 0.464
Fe1 Fe 0.249 0.651 0.463
Ge1 Ge 0.052 0.161 0.821
Ge2 Ge 0.454 0.158 0.234
O1 O 0.111 0.189 0.154
O2 O 0.131 0.502 0.245
O3 O 0.136 0.668 0.744
O4 O 0.359 0.668 0.184
O5 O 0.383 0.208 0.498
O6 O 0.384 0.520 0.673
```

Values from the calculation:
The value obtained for the density of states at the Fermi level is 0.0 states/eV per cell. The value obtained for the magnetic moment is 19.851 μB per cell.

***

(2)
First-principles (GGA+U) data for LiFeGe2O6 after structural relaxation, as listed in the Alexandria database.

Cell and atoms, written as CIF:
```
data_LiFeGe2O6
_chemical_formula_sum 'Li4 Fe4 Ge8 O24'
_space_group_name_H-M_alt 'C 1 2/c 1'
_space_group_IT_number 15
_space_group_name_Hall '-C 2yc'
_cell_length_a 10.342
_cell_length_b 8.716
_cell_length_c 5.599
_cell_angle_alpha 90.00
_cell_angle_beta 110.71
_cell_angle_gamma 90.00
loop_
_atom_site_label
_atom_site_type_symbol
_atom_site_fract_x
_atom_site_fract_y
_atom_site_fract_z
Li1 Li 0.000 0.224 0.250
Fe1 Fe 0.000 0.405 0.750
Ge1 Ge 0.213 0.093 0.746
O1 O 0.104 0.409 0.146
O2 O 0.141 0.032 0.420
O3 O 0.142 0.276 0.714
```

Values from the calculation:
The value obtained for the density of states at the Fermi level is 0.0 states/eV per cell. The value obtained for the magnetic moment is 19.920 μB per cell.

***

(1) has the most favorable energy; the next structure is 0.006 eV/atom above.